No. 1
Ho4TlRu after structural relaxation, computed with GGA-PBE.

Structure (CIF):
```
data_Ho4TlRu
_chemical_formula_sum 'Ho8 Tl2 Ru2'
_cell_length_a 8.033
_cell_length_b 6.826
_cell_length_c 6.442
_cell_angle_alpha 90.00
_cell_angle_beta 93.82
_cell_angle_gamma 90.00
_symmetry_space_group_name_H-M 'P 1 21/c 1'
_symmetry_Int_Tables_number 14
loop_
_symmetry_equiv_pos_as_xyz
'x,y,z'
'-x,-y,-z'
'-x,y+1/2,-z+1/2'
'x,-y+1/2,z+1/2'
loop_
_atom_site_label
_atom_site_fract_x
_atom_site_fract_y
_atom_site_fract_z
Ho1 0.131 0.141 0.359
Ho2 0.291 0.632 0.378
Tl1 0.500 0.000 0.500
Ru1 0.000 0.000 0.000
```

Values from the calculation:
V: 352.42 Å³ per cell
polymorph energy (0 for the lowest one): 94 kJ/mol of formula units
formation energy: -1.1 eV/f.u.

No. 2
BiTe2Pd8 after structural relaxation, computed with GGA-PBE.

Structure (CIF):
```
data_BiTe2Pd8
_chemical_formula_sum 'Bi2 Te4 Pd16'
_cell_length_a 15.259
_cell_length_b 4.162
_cell_length_c 6.537
_cell_angle_alpha 90.00
_cell_angle_beta 108.51
_cell_angle_gamma 90.00
_symmetry_space_group_name_H-M 'C 1 2/m 1'
_symmetry_Int_Tables_number 12
loop_
_symmetry_equiv_pos_as_xyz
'x,y,z'
'-x,-y,-z'
'-x,y,-z'
'x,-y,z'
'x+1/2,y+1/2,z'
'-x+1/2,-y+1/2,-z'
'-x+1/2,y+1/2,-z'
'x+1/2,-y+1/2,z'
loop_
_atom_site_label
_atom_site_fract_x
_atom_site_fract_y
_atom_site_fract_z
Bi1 0.000 0.000 0.000
Te1 0.199 0.500 0.661
Pd1 0.038 0.500 0.734
Pd2 0.088 0.000 0.457
Pd3 0.147 0.500 0.206
Pd4 0.180 0.000 0.923
```

Values from the calculation:
V: 393.62 Å³ per cell
polymorph energy (0 for the lowest one): 0 kJ/mol of formula units
E_form (uncorrected): -0.27 eV per atom

No. 3
Tb3Tm4Ni4 after structural relaxation, computed with GGA-PBE.

Structure (CIF):
```
data_Tb3Tm4Ni4
_chemical_formula_sum 'Tb6 Tm8 Ni8'
_cell_length_a 3.637
_cell_length_b 8.669
_cell_length_c 15.793
_cell_angle_alpha 90.00
_cell_angle_beta 90.00
_cell_angle_gamma 90.00
_symmetry_space_group_name_H-M 'I m m m'
_symmetry_Int_Tables_number 71
_symmetry_space_group_name_Hall '-I 2 2'
loop_
_atom_site_label
_atom_site_fract_x
_atom_site_fract_y
_atom_site_fract_z
Tb1 0.000 0.000 0.000
Tb2 0.000 0.500 0.101
Tm1 0.000 0.314 0.334
Ni1 0.000 0.000 0.249
Ni2 0.000 0.201 0.500
```

Values from the calculation:
V: 497.93 Å³ per cell
formation energy: -2.8 eV/f.u.

No. 4
Sr2ScP after structural relaxation, computed with GGA-PBE.

Structure (CIF):
```
data_Sr2ScP
_chemical_formula_sum 'Sr4 Sc2 P2'
_cell_length_a 4.564
_cell_length_b 4.564
_cell_length_c 10.778
_cell_angle_alpha 90.00
_cell_angle_beta 90.00
_cell_angle_gamma 90.00
_symmetry_space_group_name_H-M 'I 4/m m m'
_symmetry_Int_Tables_number 139
_symmetry_space_group_name_Hall '-I 4 2'
loop_
_atom_site_label
_atom_site_fract_x
_atom_site_fract_y
_atom_site_fract_z
Sr1 0.000 0.500 0.250
Sc1 0.000 0.000 0.000
P1 0.000 0.000 0.500
```

Values from the calculation:
V: 224.48 Å³ per cell
formation energy: -0.1 eV/f.u.

No. 5
CdInW2 after structural relaxation, computed with GGA-PBE.

Structure (CIF):
```
data_CdInW2
_chemical_formula_sum 'Cd3 In3 W6'
_cell_length_a 2.9075
_cell_length_b 2.9075
_cell_length_c 31.2202
_cell_angle_alpha 90.00
_cell_angle_beta 90.00
_cell_angle_gamma 120.00
_symmetry_space_group_name_H-M 'R 3 m'
_symmetry_Int_Tables_number 160
_symmetry_space_group_name_Hall 'R 3 -2"'
loop_
_atom_site_label
_atom_site_fract_x
_atom_site_fract_y
_atom_site_fract_z
Cd1 0.0000 0.0000 0.0000
In1 0.0000 0.0000 0.7637
W1 0.0000 0.0000 0.2519
W2 0.0000 0.0000 0.5104
```

Values from the calculation:
V: 228.56 Å³ per cell
polymorph energy (0 for the lowest one): 52 kJ/mol of formula units
formation energy: 2.2 eV/f.u.

No. 6
LiYSi2 after structural relaxation, computed with GGA-PBE.

Structure (CIF):
```
data_LiYSi2
_chemical_formula_sum 'Li2 Y2 Si4'
_cell_length_a 8.150
_cell_length_b 3.810
_cell_length_c 5.170
_cell_angle_alpha 90.00
_cell_angle_beta 111.13
_cell_angle_gamma 90.00
_symmetry_space_group_name_H-M 'C 1 2/m 1'
_symmetry_Int_Tables_number 12
loop_
_symmetry_equiv_pos_as_xyz
'x,y,z'
'-x,-y,-z'
'-x,y,-z'
'x,-y,z'
'x+1/2,y+1/2,z'
'-x+1/2,-y+1/2,-z'
'-x+1/2,y+1/2,-z'
'x+1/2,-y+1/2,z'
loop_
_atom_site_label
_atom_site_fract_x
_atom_site_fract_y
_atom_site_fract_z
Li1 0.000 0.000 0.000
Y1 0.000 0.500 0.500
Si1 0.237 0.500 0.140
```

Values from the calculation:
V: 149.72 Å³ per cell
polymorph energy (0 for the lowest one): 41 kJ/mol of formula units
E_form (uncorrected): -0.47 eV per atom

No. 7
LiSiSb2I after structural relaxation, computed with GGA-PBE.

Structure (CIF):
```
data_LiSiSb2I
_chemical_formula_sum 'Li1 Si1 Sb2 I1'
_cell_length_a 5.238
_cell_length_b 5.238
_cell_length_c 6.008
_cell_angle_alpha 90.00
_cell_angle_beta 90.00
_cell_angle_gamma 90.00
_symmetry_space_group_name_H-M 'P 4/m m m'
_symmetry_Int_Tables_number 123
_symmetry_space_group_name_Hall '-P 4 2'
loop_
_atom_site_label
_atom_site_fract_x
_atom_site_fract_y
_atom_site_fract_z
Li1 0.000 0.000 0.000
Si1 0.500 0.500 0.500
Sb1 0.000 0.500 0.500
I1 0.500 0.500 0.000
```

Values from the calculation:
V: 164.83 Å³ per cell
polymorph energy (0 for the lowest one): 0 kJ/mol of formula units
E_form (uncorrected): 0.35 eV per atom

No. 8
NiAg2Pb after structural relaxation, computed with GGA-PBE.

Structure (CIF):
```
data_NiAg2Pb
_chemical_formula_sum 'Ni2 Ag4 Pb2'
_cell_length_a 11.249
_cell_length_b 3.176
_cell_length_c 4.538
_cell_angle_alpha 90.00
_cell_angle_beta 112.81
_cell_angle_gamma 90.00
_symmetry_space_group_name_H-M 'C 1 2/m 1'
_symmetry_Int_Tables_number 12
loop_
_symmetry_equiv_pos_as_xyz
'x,y,z'
'-x,-y,-z'
'-x,y,-z'
'x,-y,z'
'x+1/2,y+1/2,z'
'-x+1/2,-y+1/2,-z'
'-x+1/2,y+1/2,-z'
'x+1/2,-y+1/2,z'
loop_
_atom_site_label
_atom_site_fract_x
_atom_site_fract_y
_atom_site_fract_z
Ni1 0.000 0.000 0.000
Ag1 0.214 0.500 0.215
Pb1 0.000 0.500 0.500
```

Values from the calculation:
V: 149.47 Å³ per cell
formation energy: 0.7 eV/f.u.

> Look up the V of the seventh one.

164.83 Å³ per cell

> Among the records above, which one has the highest V?

Tb3Tm4Ni4

> What is the formula in the sixth record?

LiYSi2

> V of number 8 (NiAg2Pb)?

149.47 Å³ per cell